! YP2Ir (GGA-PBE, optimized geometry); values from VASP
! E = -7.481 eV/atom
! energy above the most stable polymorph in this dataset = 0.20 eV per formula unit
! energy relative to the elements = -0.94 eV/atom
&SYSTEM
  ibrav = 0, nat = 4, ntyp = 3
/
ATOMIC_SPECIES
Y 88.91 Y.upf
P 30.97 P.upf
Ir 192.22 Ir.upf
CELL_PARAMETERS angstrom
4.291 0.000 0.000
0.000 3.925 0.000
-0.377 0.000 4.494
ATOMIC_POSITIONS crystal
Y 0.000 0.000 0.000
P 0.382 0.500 0.765
P 0.618 0.500 0.235
Ir 0.500 0.000 0.500